7
Lattice="4.4189 0.0000 0.0000 0.0000 3.5212 -0.7759 0.0000 0.0611 8.6554" Properties=species:S:1:pos:R:3 comment="PaNb4Ge2 | Alexandria | GGA-PBE | optimized geometry" density_g_cm3=9.21 crystal_system=orthorhombic sg="Cmmm, No. 65" volume_a3_per_atom=19.3 final_energy_ev_per_atom=-8.7193 pbc="T T T"
Nb 0.0000 2.3973 2.5018
Nb 0.0000 1.1849 5.3777
Nb 2.2095 0.6694 3.0381
Nb 2.2095 2.9128 4.8415
Ge 2.2095 2.0231 0.8036
Ge 2.2095 1.5591 7.0760
Pa 0.0000 0.0000 0.0000